[1]
Crystalline NaPCl2O at its relaxed geometry. Source: Alexandria via LeMat-Bulk, functional PBE.

Distance to the lowest polymorph of the same formula: 1531 meV per atom

The structure in POSCAR format:
```
NaPCl2O
1.0
4.770 0.000 0.000
0.000 4.770 0.000
0.000 0.000 5.747
Na P Cl O
1 1 2 1
direct
0.000 0.000 0.000
0.000 0.000 0.500
0.000 0.500 0.000
0.500 0.000 0.000
0.500 0.500 0.500
```

[2]
Crystalline Na5PCl2O4 at its relaxed geometry. Source: Alexandria via LeMat-Bulk, functional PBE.

Raw total energy: -4.92 eV per atom

The structure in POSCAR format:
```
Na5PCl2O4
1.0
7.346 0.000 0.000
0.000 4.570 2.907
0.000 -4.570 2.907
Na P Cl O
5 1 2 4
direct
0.000 0.000 0.000
0.298 0.202 0.567
0.298 0.567 0.202
0.702 0.202 0.567
0.702 0.567 0.202
0.500 0.919 0.919
0.000 0.455 0.828
0.000 0.828 0.455
0.328 0.081 0.081
0.500 0.620 0.898
0.500 0.898 0.620
0.672 0.081 0.081
```

Number 1: spin magnetization 0.001 μB per formula unit. Number 2: spin magnetization 0.000 μB per formula unit.